A relaxed structure of ScMoO2F. Source: Alexandria, functional PBE+U.

```
data_ScMoO2F
_chemical_formula_sum 'Sc1 Mo1 O2 F1'
_cell_length_a 4.165
_cell_length_b 4.165
_cell_length_c 4.093
_cell_angle_alpha 90.00
_cell_angle_beta 90.00
_cell_angle_gamma 90.00
_space_group_name_H-M_alt 'P 1'
_space_group_IT_number 1
loop_
_space_group_symop_operation_xyz
'x,y,z'
loop_
_atom_site_label
_atom_site_fract_x
_atom_site_fract_y
_atom_site_fract_z
_atom_site_occupancy
Sc1 0.000 0.000 0.000 1
Mo1 0.500 0.500 0.500 1
O1 0.000 0.500 0.500 1
O2 0.500 0.000 0.500 1
F1 0.500 0.500 0.000 1
```

Output
M_tot: 3.97 Bohr magnetons per cell
Uncorrected energy: -0.489 Ry/atom
Fermi-level density of states: 2.8 states/eV/f.u.
SG: No. 123